Entry 1:
The following is a DFT calculation (GGA-PBE) of a relaxed structure of Zr5Te3.

Cell: 8.5175 8.5175 5.7774 Å, 90.00 90.00 120.00°
Space group P6_3/mcm (No. 193)
One atom of each set of equivalent atoms:
Zr  0.0000  0.2614  0.2500 [6 per cell]
Zr  0.3333  0.6667  0.0000 [4 per cell]
Te  0.0000  0.3837  0.7500 [6 per cell]

* uncorrected energy: -7.09 eV per atom
* raw formation energy: -55 kJ per mole of atoms



Entry 2:
The following is a DFT calculation (GGA-PBE) of a relaxed structure of Hg2TeI6.

Cell: 9.2493 9.2493 7.7241 Å, 90.00 90.00 120.00°
Space group P-3m1 (No. 164)
One atom of each set of equivalent atoms:
Hg  0.3333  0.6667  0.2310 [2 per cell]
Te  0.0000  0.0000  0.0000 [1 per cell]
I  0.1561  0.3122  0.2285 [6 per cell]

* uncorrected energy: -1.53 eV per atom
* raw formation energy: -8 kJ per mole of atoms



Entry 3:
The following is a DFT calculation (GGA-PBE) of a relaxed structure of Pm2GaH.

Cell: 3.7108 3.7108 22.0747 Å, 90.00 90.00 120.00°
Space group R-3m (No. 166, hexagonal axes)
One atom of each set of equivalent atoms:
Pm  0.0000  0.0000  0.2330 [6 per cell]
Ga  0.0000  0.0000  0.0000 [3 per cell]
H  0.0000  0.0000  0.5000 [3 per cell]

* uncorrected energy: -4.33 eV per atom



Entry 4:
The following is a DFT calculation (GGA-PBE) of a relaxed structure of SbPt2Au2.

Cell: 7.9033 7.9033 3.0461 Å, 90.00 90.00 90.00°
Space group P4/mbm (No. 127)
One atom of each set of equivalent atoms:
Sb  0.0000  0.0000  0.0000 [2 per cell]
Pt  0.1321  0.3679  0.5000 [4 per cell]
Au  0.1636  0.6636  0.0000 [4 per cell]

* uncorrected energy: -4.45 eV per atom
* raw formation energy: 10 kJ per mole of atoms



Entry 5:
The following is a DFT calculation (GGA-PBE) of a relaxed structure of KLiCo2.

Cell: 2.6781 4.5791 10.3579 Å, 90.00 90.00 90.00°
Space group Immm (No. 71)
One atom of each set of equivalent atoms:
K  0.0000  0.0000  0.0000 [2 per cell]
Li  0.0000  0.0000  0.5000 [2 per cell]
Co  0.0000  0.5000  0.2280 [4 per cell]

* uncorrected energy: -3.48 eV per atom



Entry 6:
The following is a DFT calculation (GGA-PBE) of a relaxed structure of Ti2NbZn2.

Cell: 4.9108 5.3269 7.4268 Å, 108.02 91.95 116.28°
Space group P-1 (No. 2)
One atom of each set of equivalent atoms:
Ti  0.0095  0.3827  0.1462 [2 per cell]
Ti  0.3641  0.3663  0.6303 [2 per cell]
Nb  0.2004  0.9951  0.2419 [2 per cell]
Zn  0.2109  0.7799  0.5467 [2 per cell]
Zn  0.4282  0.2212  0.9542 [2 per cell]

* uncorrected energy: -5.76 eV per atom



Entry 7:
The following is a DFT calculation (GGA-PBE) of a relaxed structure of AcTbDy6Tm2.

Cell: 9.2303 15.1346 9.4844 Å, 90.00 94.82 90.00°
Space group C2/c (No. 15)
One atom of each set of equivalent atoms:
Ac  0.0000  0.0320  0.2500 [4 per cell]
Tb  0.0000  0.4120  0.7500 [4 per cell]
Dy  0.0615  0.1866  0.9431 [8 per cell]
Dy  0.0992  0.3881  0.1159 [8 per cell]
Dy  0.2173  0.2300  0.3206 [8 per cell]
Tm  0.2408  0.4440  0.4505 [8 per cell]

* uncorrected energy: -4.40 eV per atom



Entry 8:
The following is a DFT calculation (GGA-PBE) of a relaxed structure of ZrCrNi3.

Cell: 4.5602 4.5602 4.5602 Å, 90.00 90.00 90.00°
Space group Pm-3m (No. 221)
One atom of each set of equivalent atoms:
Zr  0.0000  0.0000  0.0000 [1 per cell]
Cr  0.5000  0.5000  0.5000 [1 per cell]
Ni  0.0000  0.0000  0.5000 [3 per cell]

* uncorrected energy: -5.88 eV per atom



no.,V (Å³/cell),DOS at the Fermi energy (states/eV per cell)
1,363.0,11.80
2,572.3,3.95
3,263.2,7.22
4,190.3,6.32
5,127.0,5.69
6,162.3,8.91
7,1320.3,59.91
8,94.8,3.00